(1)
This record from Alexandria describes a geometry-optimized DyHoAl structure. The functional is PBE.

Lattice parameters (Å, degrees): 8.141 8.141 3.448 90.02 102.22 155.53
Element x y z (fractional)
Dy 0.919 0.235 0.153
Ho 0.334 0.026 0.360
Al 0.462 0.463 0.926

- E above lowest polymorph: 0.71 eV per formula unit

***

(2)
This record from Alexandria describes a geometry-optimized Dy4Ho3Al structure. The functional is PBE.

Lattice parameters (Å, degrees): 3.523 3.523 18.968 90.00 90.00 90.00
Element x y z (fractional)
Al 0.500 0.500 0.000
Ho 0.500 0.500 0.236
Ho 0.500 0.500 0.500
Ho 0.500 0.500 0.764
Dy 0.000 0.000 0.899
Dy 0.000 0.000 0.101
Dy 0.000 0.000 0.367
Dy 0.000 0.000 0.633

- Total DFT energy (no corrections): -4.57 eV per atom

***

(3)
This record from Alexandria describes a geometry-optimized DyHo12Al3 structure. The functional is PBE.

Lattice parameters (Å, degrees): 4.773 4.773 19.421 90.00 90.00 90.00
Element x y z (fractional)
Dy 0.000 0.000 0.000
Ho 0.500 0.500 0.000
Ho 0.500 0.500 0.257
Ho 0.500 0.500 0.500
Ho 0.500 0.500 0.743
Ho 0.500 0.000 0.134
Ho 0.500 0.000 0.378
Ho 0.500 0.000 0.622
Ho 0.500 0.000 0.866
Ho 0.000 0.500 0.134
Ho 0.000 0.500 0.378
Ho 0.000 0.500 0.622
Ho 0.000 0.500 0.866
Al 0.000 0.000 0.258
Al 0.000 0.000 0.500
Al 0.000 0.000 0.742

- Total DFT energy (no corrections): -4.55 eV per atom

***

It is found that the N(E_F) values, taken in the order of the records, are 3.81; 10.15; 16.64 states/eV/f.u..